Entry 1:
Below is a relaxed structure of Tm5N4, with properties calculated at the PBE-GGA level.

The calculation puts the uncorrected energy at -7.463 eV/atom. The distance to the lowest polymorph of the same formula is 0 meV/atom. For the uncorrected formation energy, the calculation gives -1.28 eV/atom. As for the magnetic moment: 0.00 μB/cell.

It has space group I4/m (No. 87), with a = 9.382 Å, b = 9.382 Å, c = 3.440 Å, α = 90.00°, β = 90.00° and γ = 90.00°. The inequivalent atoms are Tm at (0.000, 0.000, 0.000), Tm at (0.090, 0.261, 0.500) and N at (0.113, 0.789, 0.000).

***

Entry 2:
Below is a relaxed structure of Na3TiSn2Se6, with properties calculated at the PBE-GGA level.

The calculation puts the uncorrected energy at -4.291 eV/atom. For the uncorrected formation energy, the calculation gives -0.89 eV/atom. As for the magnetic moment: 0.00 μB/cell.

It has space group C2/m (No. 12), with a = 7.056 Å, b = 12.230 Å, c = 7.284 Å, α = 90.00°, β = 109.13° and γ = 90.00°. The inequivalent atoms are Na at (0.000, 0.000, 0.000), Na at (0.000, 0.325, 0.000), Ti at (0.000, 0.500, 0.500), Sn at (0.000, 0.165, 0.500), Se at (0.225, 0.348, 0.719) and Se at (0.229, 0.500, 0.282).

***

Entry 3:
Below is a relaxed structure of CdSiMo2, with properties calculated at the PBE-GGA level.

The calculation puts the uncorrected energy at -6.590 eV/atom. The distance to the lowest polymorph of the same formula is 277 meV/atom. For the uncorrected formation energy, the calculation gives 0.41 eV/atom. As for the magnetic moment: 0.00 μB/cell.

It has space group Pmmm (No. 47), with a = 3.351 Å, b = 4.338 Å, c = 4.466 Å, α = 90.00°, β = 90.00° and γ = 90.00°. The inequivalent atoms are Cd at (0.000, 0.000, 0.000), Si at (0.500, 0.000, 0.500), Mo at (0.000, 0.500, 0.500) and Mo at (0.500, 0.500, 0.000).

***

Entry 4:
Below is a relaxed structure of Cr2TcMoH, with properties calculated at the PBE-GGA level.

The calculation puts the uncorrected energy at -8.574 eV/atom. As for the magnetic moment: 0.00 μB/cell.

It has space group P4/mmm (No. 123), with a = 3.816 Å, b = 3.816 Å, c = 3.876 Å, α = 90.00°, β = 90.00° and γ = 90.00°. The inequivalent atoms are Cr at (0.000, 0.500, 0.000), Tc at (0.000, 0.000, 0.500), Mo at (0.500, 0.500, 0.500) and H at (0.000, 0.000, 0.000).

***

Entry 5:
Below is a relaxed structure of Pm2NdBi, with properties calculated at the PBE-GGA level.

The calculation puts the uncorrected energy at -4.964 eV/atom. The distance to the lowest polymorph of the same formula is 28 meV/atom. Its calculated formation energy is -426 meV per atom. As for the magnetic moment: 0.00 μB/cell.

It has space group P4/mmm (No. 123), with a = 4.990 Å, b = 4.990 Å, c = 4.967 Å, α = 90.00°, β = 90.00° and γ = 90.00°. The inequivalent atoms are Pm at (0.000, 0.500, 0.000), Nd at (0.000, 0.000, 0.500) and Bi at (0.500, 0.500, 0.500).

***

Entry 6:
Below is a relaxed structure of PrNd3Pd, with properties calculated at the PBE-GGA level.

The calculation puts the uncorrected energy at -5.159 eV/atom. The distance to the lowest polymorph of the same formula is 0 meV/atom. Its calculated formation energy is -303 meV per atom. As for the magnetic moment: 0.00 μB/cell.

It has space group Cm (No. 8), with a = 12.441 Å, b = 3.880 Å, c = 14.001 Å, α = 90.00°, β = 112.20° and γ = 90.00°. The inequivalent atoms are Pr at (0.000, 0.000, 0.000), Pr at (0.123, 0.000, 0.297), Nd at (0.110, 0.000, 0.617), Nd at (0.234, 0.000, 0.911), Nd at (0.272, 0.500, 0.150), Nd at (0.300, 0.500, 0.529), Nd at (0.433, 0.000, 0.386), Nd at (0.463, 0.000, 0.763), Pd at (0.267, 0.500, 0.764) and Pd at (0.464, 0.000, 0.147).